# 1
The following is a DFT calculation (PBE) of an optimized crystal structure of SrLaTaAu2.

Values from the calculation:
As for the crystal system: tetragonal.

Cell and atoms, written as POSCAR:
```
SrLaTaAu2
1.0
5.6135 0.0000 0.0000
0.0000 5.6135 0.0000
0.0000 0.0000 5.2491
Sr La Ta Au
1 1 1 2
Cartesian
0.0000 0.0000 0.0000
2.8067 2.8067 2.6245
2.8067 2.8067 0.0000
0.0000 2.8067 2.6245
2.8067 0.0000 2.6245
```

# 2
The following is a DFT calculation (PBE) of an optimized crystal structure of SrLaTa2Au.

Values from the calculation:
As for the crystal system: tetragonal.

Cell and atoms, written as POSCAR:
```
SrLaTa2Au
1.0
5.0210 0.0000 0.0000
0.0000 5.0210 0.0000
0.0000 0.0000 5.4928
Sr La Ta Au
1 1 2 1
Cartesian
0.0000 0.0000 0.0000
0.0000 0.0000 2.7464
0.0000 2.5105 0.0000
2.5105 0.0000 0.0000
2.5105 2.5105 2.7464
```

# 3
The following is a DFT calculation (PBE) of an optimized crystal structure of SrLaTl2Au.

Values from the calculation:
As for the crystal system: tetragonal.

Cell and atoms, written as POSCAR:
```
SrLaTl2Au
1.0
5.8390 0.0000 0.0000
0.0000 5.8390 0.0000
0.0000 0.0000 5.4099
Sr La Tl Au
1 1 2 1
Cartesian
0.0000 0.0000 0.0000
2.9195 2.9195 2.7049
0.0000 2.9195 0.0000
2.9195 0.0000 0.0000
0.0000 0.0000 2.7049
```

no.,formation energy (meV per atom)
1,711
2,2267
3,316